BeBiIN2: relaxed, PBE.

Uncorrected formation energy, eV per atom: 1.79

The structure in CIF format:
```
data_BeBiIN2
_chemical_formula_sum 'Be1 Bi1 I1 N2'
_space_group_name_H-M_alt 'P 4/m m m'
_space_group_IT_number 123
_space_group_name_Hall '-P 4 2'
_cell_length_a 4.226
_cell_length_b 4.226
_cell_length_c 7.481
_cell_angle_alpha 90.00
_cell_angle_beta 90.00
_cell_angle_gamma 90.00
loop_
_atom_site_label
_atom_site_fract_x
_atom_site_fract_y
_atom_site_fract_z
Be1 0.000 0.000 0.000
Bi1 0.500 0.500 0.500
I1 0.500 0.500 0.000
N1 0.000 0.500 0.500
```